Material: LaThSbO2
Method: DFT, PBE
State: optimized geometry

```
LaThSbO2
1.0
-0.929 2.735 -2.866
0.184 -2.911 -2.837
-5.944 -1.153 3.715
O Sb La Th
2 1 1 1
Cartesian
-2.999 -2.063 -0.996
-3.556 0.760 -1.011
-0.422 -0.098 -2.845
-4.808 -0.959 -2.245
-1.966 -0.386 0.269
```

Summary:
* calculated density: 8.10 g cm⁻³
* ΔE_f (raw): -2.798 eV per atom
* total magnetization: 0.00 μB per formula unit
* symmetry: No. 107
* final energy: -8.076 eV per atom